1.
TaTiNb: relaxed, PBE.

abc: 3.307 3.307 5.430
angles: 72.05 72.07 89.91
Fractional coordinates of all 3 atoms:
Ti  0.389  0.958  0.700
Ta  0.715  0.284  0.045
Nb  0.056  0.625  0.365

Properties
Excess energy over the best structure of this formula in the dataset, meV/atom: 29

=====

2.
CuSiAu14: relaxed, PBE.

abc: 5.710 5.710 8.941
angles: 90.00 90.00 102.12
Fractional coordinates of all 16 atoms:
Si  0.538  0.462  0.500
Au  0.338  0.662  0.739
Au  0.139  0.861  0.000
Au  0.833  0.589  0.718
Au  0.628  0.810  0.000
Au  0.833  0.589  0.282
Au  0.411  0.167  0.282
Au  0.675  0.325  0.000
Au  0.905  0.095  0.769
Au  0.411  0.167  0.718
Au  0.076  0.349  0.500
Au  0.190  0.372  0.000
Au  0.905  0.095  0.231
Au  0.338  0.662  0.261
Au  0.651  0.924  0.500
Cu  0.128  0.872  0.500

Properties
Uncorrected formation energy, eV/f.u.: 0.48

=====

Number 1: spin magnetization 0.000 μB per cell, total DFT energy (no corrections) -9.893 eV/atom. Number 2: spin magnetization 0.000 μB per cell, total DFT energy (no corrections) -3.433 eV/atom.